# 1
Below is a relaxed structure of Sm3TmTc, with properties calculated at the PBE level.

Results
calculated formation energy = -0.02 eV per atom
theoretical density = 8.24 g/cm3
total magnetic moment = 0.0 μB/cell
raw total energy = -5.82 eV per atom
crystal system = monoclinic

```
Sm3TmTc
1.0
6.0885 -1.9745 0.0000
6.0885 1.9745 0.0000
-4.9955 0.0000 12.0372
Sm Tm Tc
6 2 2
Cartesian
0.0000 0.0000 0.0000 Sm
-1.6844 0.0000 4.5186 Sm
-1.5390 0.0000 10.3195 Sm
3.3665 0.0000 1.6591 Sm
6.8737 0.0000 2.9861 Sm
5.3562 0.0000 7.3838 Sm
1.8704 0.0000 5.8089 Tm
1.9897 0.0000 9.0865 Tm
-2.7918 0.0000 7.3436 Tc
3.0889 0.0000 11.9860 Tc
```



# 2
Below is a relaxed structure of Sm2Tm3Tc2, with properties calculated at the PBE level.

Results
calculated formation energy = -0.07 eV per atom
theoretical density = 9.20 g/cm3
total magnetic moment = 0.0 μB/cell
raw total energy = -6.29 eV per atom
crystal system = monoclinic

```
Sm2Tm3Tc2
1.0
11.7006 0.0000 0.0000
0.0000 3.9905 0.0000
-3.2537 0.0000 7.7625
Sm Tm Tc
4 6 4
Cartesian
0.8840 0.0000 2.3868 Sm
1.7126 1.9952 5.3757 Sm
6.7343 1.9952 2.3868 Sm
7.5629 0.0000 5.3757 Sm
-1.6269 1.9952 3.8813 Tm
-1.5339 1.9952 7.2027 Tm
4.1305 0.0000 0.5598 Tm
4.2235 0.0000 3.8813 Tm
4.3164 0.0000 7.2027 Tm
9.9808 1.9952 0.5598 Tm
-0.3388 0.0000 5.5436 Tc
2.9354 1.9952 2.2189 Tc
5.5115 1.9952 5.5436 Tc
8.7858 0.0000 2.2189 Tc
```



# 3
Below is a relaxed structure of SmTm2Tc, with properties calculated at the PBE level.

Results
calculated formation energy = -0.03 eV per atom
theoretical density = 9.29 g/cm3
total magnetic moment = 0.0 μB/cell
energy above the most stable polymorph in this dataset = 78 meV/atom
raw total energy = -6.04 eV per atom
crystal system = tetragonal

```
SmTm2Tc
1.0
3.4188 0.0000 0.0000
0.0000 3.4188 0.0000
0.0000 0.0000 8.9666
Sm Tm Tc
1 2 1
Cartesian
0.0000 0.0000 0.0000 Sm
1.7094 1.7094 2.8557 Tm
1.7094 1.7094 6.1109 Tm
0.0000 0.0000 4.4833 Tc
```



# 4
Below is a relaxed structure of SmTm2Tc9, with properties calculated at the PBE level.

Results
calculated formation energy = -0.07 eV per atom
theoretical density = 10.53 g/cm3
total magnetic moment = 0.0 μB/cell
raw total energy = -8.98 eV per atom
crystal system = trigonal

```
SmTm2Tc9
1.0
2.6782 1.5463 8.6944
-2.6782 1.5463 8.6944
0.0000 -3.0925 8.6944
Sm Tm Tc
1 2 9
Cartesian
0.0000 0.0000 0.0000 Sm
0.0000 0.0000 3.7458 Tm
0.0000 0.0000 22.3375 Tm
-1.3840 -0.7990 10.8893 Tc
0.0000 0.0000 8.8331 Tc
0.0000 -1.5981 15.1939 Tc
-1.3840 0.7990 15.1939 Tc
0.0000 0.0000 13.0416 Tc
1.3840 -0.7990 10.8893 Tc
0.0000 1.5981 10.8893 Tc
0.0000 0.0000 17.2501 Tc
1.3840 0.7990 15.1939 Tc
```



# 5
Below is a relaxed structure of SmTm2Tc, with properties calculated at the PBE level.

Results
calculated formation energy = -0.11 eV per atom
theoretical density = 9.21 g/cm3
total magnetic moment = 0.0 μB/cell
energy above the most stable polymorph in this dataset = 0 meV/atom
raw total energy = -6.11 eV per atom
crystal system = orthorhombic

```
SmTm2Tc
1.0
7.4895 0.0000 0.0000
0.0000 9.0256 0.0000
0.0000 0.0000 6.2512
Sm Tm Tc
4 8 4
Cartesian
0.3049 2.2564 0.7742 Sm
3.4398 6.7692 3.8998 Sm
4.0496 2.2564 2.3514 Sm
7.1846 6.7692 5.4770 Sm
1.3112 0.5754 4.0894 Tm
1.3112 3.9374 4.0894 Tm
2.4335 5.0882 0.9638 Tm
2.4335 8.4502 0.9638 Tm
5.0560 0.5754 5.2874 Tm
5.0560 3.9374 5.2874 Tm
6.1782 5.0882 2.1618 Tm
6.1782 8.4502 2.1618 Tm
0.8794 6.7692 2.8261 Tc
2.8653 2.2564 5.9517 Tc
4.6241 6.7692 0.2995 Tc
6.6101 2.2564 3.4250 Tc
```



# 6
Below is a relaxed structure of SmTm4Tc2, with properties calculated at the PBE level.

Results
calculated formation energy = -0.06 eV per atom
theoretical density = 9.58 g/cm3
total magnetic moment = 0.0 μB/cell
raw total energy = -6.25 eV per atom
crystal system = monoclinic

```
SmTm4Tc2
1.0
7.7210 0.0000 0.0000
0.0000 6.2580 0.0000
-2.9577 0.0000 7.3311
Sm Tm Tc
2 8 4
Cartesian
-0.3009 1.5645 1.1467 Sm
5.0642 4.6935 6.1844 Sm
0.1350 3.1331 4.2646 Tm
0.1350 6.2538 4.2646 Tm
1.7720 4.6935 1.8702 Tm
2.9343 1.5645 0.1824 Tm
1.8290 4.6935 7.1487 Tm
2.9913 1.5645 5.4609 Tm
4.6283 0.0041 3.0665 Tm
4.6283 3.1249 3.0665 Tm
-1.9465 1.5645 5.5047 Tc
2.1425 1.5645 2.7941 Tc
2.6208 4.6935 4.5370 Tc
6.7098 4.6935 1.8264 Tc
```



# 7
Below is a relaxed structure of SmTm2Tc, with properties calculated at the PBE level.

Results
calculated formation energy = 0.16 eV per atom
theoretical density = 9.66 g/cm3
total magnetic moment = 0.0 μB/cell
energy above the most stable polymorph in this dataset = 268 meV/atom
raw total energy = -5.85 eV per atom
crystal system = trigonal

```
SmTm2Tc
1.0
4.8105 0.0000 0.0000
-2.4052 4.1660 0.0000
0.0000 0.0000 15.0780
Sm Tm Tc
3 6 3
Cartesian
0.0000 0.0000 0.0000 Sm
0.0000 2.7773 10.0520 Sm
2.4052 1.3887 5.0260 Sm
0.0000 0.0000 3.4091 Tm
0.0000 0.0000 11.6689 Tm
0.0000 2.7773 6.6429 Tm
0.0000 2.7773 13.4611 Tm
2.4052 1.3887 1.6169 Tm
2.4052 1.3887 8.4351 Tm
0.0000 0.0000 7.5390 Tc
0.0000 2.7773 2.5130 Tc
2.4052 1.3887 12.5650 Tc
```



# 8
Below is a relaxed structure of SmTm4Tc, with properties calculated at the PBE level.

Results
calculated formation energy = -0.04 eV per atom
theoretical density = 9.39 g/cm3
total magnetic moment = 0.0 μB/cell
raw total energy = -5.53 eV per atom
crystal system = orthorhombic

```
SmTm4Tc
1.0
8.7020 0.0000 0.0000
0.0000 3.6995 0.0000
0.0000 0.0000 20.3149
Sm Tm Tc
4 16 4
Cartesian
1.9691 0.9249 3.8150 Sm
2.3819 2.7746 13.9724 Sm
6.3201 0.9249 6.3425 Sm
6.7330 2.7746 16.5000 Sm
0.0896 2.7746 11.4978 Tm
0.3435 2.7746 5.9774 Tm
1.1364 2.7746 0.8918 Tm
1.3044 2.7746 17.4343 Tm
3.0466 0.9249 7.2768 Tm
3.2146 0.9249 11.0493 Tm
4.0075 0.9249 16.1348 Tm
4.2614 0.9249 1.3404 Tm
4.4406 2.7746 18.9746 Tm
4.6945 2.7746 4.1801 Tm
5.4874 2.7746 9.2656 Tm
5.6554 2.7746 13.0381 Tm
7.3977 0.9249 2.8807 Tm
7.5656 0.9249 19.4231 Tm
8.3585 0.9249 14.3375 Tm
8.6125 0.9249 8.8171 Tm
2.0844 2.7746 9.2346 Tc
2.2667 0.9249 19.3921 Tc
6.4354 2.7746 0.9228 Tc
6.6177 0.9249 11.0803 Tc
```